This record from Alexandria via LeMat-Bulk describes a relaxed structure of Pm8Te4P3C. The functional is PBE.

CIF file:
```
data_Pm8Te4P3C
_chemical_formula_sum 'Pm8 Te4 P3 C1'
_space_group_name_H-M_alt 'P 1'
_space_group_IT_number 1
_space_group_name_Hall 'P 1'
_cell_length_a 8.353
_cell_length_b 8.687
_cell_length_c 8.354
_cell_angle_alpha 118.74
_cell_angle_beta 120.00
_cell_angle_gamma 90.00
loop_
_atom_site_label
_atom_site_type_symbol
_atom_site_fract_x
_atom_site_fract_y
_atom_site_fract_z
_atom_site_occupancy
Pm1 Pm 0.225 0.705 0.980 1
Pm2 Pm 0.225 0.705 0.451 1
Pm3 Pm 0.262 0.286 0.524 1
Pm4 Pm 0.754 0.705 0.980 1
Pm5 Pm 0.246 0.295 0.020 1
Pm6 Pm 0.738 0.714 0.476 1
Pm7 Pm 0.775 0.295 0.549 1
Pm8 Pm 0.775 0.295 0.020 1
Te1 Te 0.500 0.000 0.000 1
Te2 Te 0.500 0.000 0.500 1
Te3 Te 0.000 0.000 0.000 1
Te4 Te 0.000 0.000 0.500 1
P1 P 0.500 0.500 0.000 1
P2 P 0.500 0.500 0.500 1
P3 P 0.000 0.500 0.500 1
C1 C 0.000 0.500 0.000 1
```

Results
Its raw formation energy is -1.3777 eV per atom. Its total energy is -0.4505 Ry/atom. The symmetry is R-3m.